# MnAuIO2

MnAuIO2 after structural relaxation (PBE with a Hubbard U, Alexandria).

Geometry as POSCAR:
```
MnAuIO2
1.0
3.864 0.000 0.000
0.000 3.864 0.000
0.000 0.000 6.942
Mn Au I O
1 1 1 2
direct
0.000 0.000 0.000 Mn
0.500 0.500 0.500 Au
0.000 0.000 0.500 I
0.000 0.500 0.000 O
0.500 0.000 0.000 O
```

space group: P4/mmm (123)
final energy: -4.770 eV per atom